1.
# KPBrO2

A geometry-optimized KPBrO2 structure (PBE-GGA, Alexandria via LeMat-Bulk).

Unit cell a=4.3619 b=4.3619 c=4.8096 alpha=90.00 beta=90.00 gamma=90.00
Closest atoms and distances in Å follow each position.
Element x y z (fractional)
1 Br 0.0000 0.0000 0.0000  4 O 2.18, 2 P 2.40
2 O 0.5000 0.0000 0.0000  2 Br 2.18
3 O 0.0000 0.5000 0.0000  2 Br 2.18
4 P 0.0000 0.0000 0.5000  2 Br 2.40
5 K 0.5000 0.5000 0.5000  4 P 3.08, 8 O 3.25

Values from the calculation:
symmetry = P4/mmm, No. 123
formation energy from raw total energies = 481 meV per atom
excess energy over the best structure of this formula in the dataset = 0.0 meV/atom



2.
# RbCd2SnI

A geometry-optimized RbCd2SnI structure (PBE-GGA, Alexandria via LeMat-Bulk).

Unit cell a=7.0171 b=6.6556 c=7.0171 alpha=90.00 beta=90.00 gamma=90.00
Closest atoms and distances in Å follow each position.
Element x y z (fractional)
1 Sn 0.5000 0.5000 0.5000  8 Cd 4.84, 4 I 4.96
2 Cd 0.5000 0.0000 0.0000  2 Rb 3.51
3 Cd 0.0000 0.0000 0.5000  2 Rb 3.51
4 I 0.0000 0.5000 0.0000  2 Rb 3.33
5 Rb 0.0000 0.0000 0.0000  2 I 3.33, 4 Cd 3.51

Values from the calculation:
symmetry = P4/mmm, No. 123
formation energy from raw total energies = 410 meV per atom



3.
# SrErTlPd

A geometry-optimized SrErTlPd structure (PBE-GGA, Alexandria via LeMat-Bulk).

Unit cell a=5.3137 b=5.3137 c=5.3137 alpha=60.00 beta=60.00 gamma=60.00
Closest atoms and distances in Å follow each position.
Element x y z (fractional)
1 Pd 0.7500 0.7500 0.7500  4 Er 3.25, 4 Sr 3.25
2 Tl 0.2500 0.2500 0.2500  4 Er 3.25, 4 Sr 3.25
3 Sr 0.0000 0.0000 0.0000  4 Tl 3.25, 4 Pd 3.25
4 Er 0.5000 0.5000 0.5000  4 Tl 3.25, 4 Pd 3.25

Values from the calculation:
symmetry = F-43m, No. 216
formation energy from the elements = -0.407 eV per atom



The records above give, respectively, E_tot values of -15.693; -6.299; -15.432 eV per cell.